Density functional theory data (PBE) for a relaxed structure of AcPrNiHg.

Results
Spin magnetization, μB per formula unit: 0.000
Energy of formation, eV/atom: -0.22
VASP energy, eV/cell: -15.9

a = 5.390 Å, b = 5.390 Å, c = 5.390 Å
α = 60.00°, β = 60.00°, γ = 60.00°
Sites, in units of the cell vectors:
Ac (0.500, 0.500, 0.500)
Pr (0.000, 0.000, 0.000)
Hg (0.750, 0.750, 0.750)
Ni (0.250, 0.250, 0.250)